No. 1
VASP calculation (GGA-PBE) on a relaxed MgZn2Co crystal.

Summary:
* formation energy: 12 meV per atom

a = 3.0126 Å, b = 3.0126 Å, c = 6.4194 Å
α = 90.00°, β = 90.00°, γ = 90.00°
Fractional coordinates of all 4 atoms:
Zn (0.5000, 0.5000, 0.2781)
Zn (0.0000, 0.0000, 0.0289)
Co (0.0000, 0.0000, 0.4732)
Mg (0.5000, 0.5000, 0.7198)



No. 2
VASP calculation (GGA-PBE) on a relaxed ThZrScAl crystal.

Summary:
* formation energy: -56 meV per atom

a = 5.1196 Å, b = 5.1196 Å, c = 5.1196 Å
α = 60.00°, β = 60.00°, γ = 60.00°
Fractional coordinates of all 4 atoms:
Sc (0.0000, 0.0000, 0.0000)
Th (0.2500, 0.2500, 0.2500)
Al (0.5000, 0.5000, 0.5000)
Zr (0.7500, 0.7500, 0.7500)